w:
A relaxed TlInN2F crystal. Source: Alexandria, functional PBE.

Geometry as extended XYZ:
```
5
Lattice="-1.2909 -2.8243 -3.0815 0.0861 -3.2423 2.9357 -4.2684 0.8228 1.0340" Properties=species:S:1:pos:R:3 pbc="T T T"
N 0.0431 -1.6212 1.4678
N -0.6454 -1.4121 -1.5407
Tl -2.7366 -2.6219 0.4441
F -2.1342 0.4114 0.5170
In 0.0000 0.0000 0.0000
```

Computed properties:
SG   P4/mmm (123)
D(E_F)   1.45 states/eV per cell
Calculated density   7.11 g cm⁻³
Magnetization   0.594 μB per atom


x:
A relaxed TlInN2F crystal. Source: Alexandria, functional PBE.

Geometry as extended XYZ:
```
5
Lattice="-3.3348 1.0438 -2.5921 -0.0003 -4.0360 -1.6249 -2.9283 -1.3050 3.2418" Properties=species:S:1:pos:R:3 pbc="T T T"
N -0.0001 -2.0180 -0.8125
N -1.6674 0.5219 -1.2961
Tl 0.0000 0.0000 0.0000
F -1.4641 -0.6525 1.6209
In -3.1317 -2.1486 -0.4876
```

Computed properties:
SG   P4/mmm (123)
D(E_F)   2.47 states/eV per cell
Calculated density   7.05 g cm⁻³
Magnetization   0.325 μB per atom


Relative energy of each structure, in kJ/mol of atoms: w 0.0; x 45.0.